First-principles (GGA-PBE) data for crystalline PmLuMgTi at its relaxed geometry, as listed in the Alexandria database.

Output
- spin magnetization (μB per cell) = 2.01
- DFT formation energy (eV per atom) = 0.15

Cell and atoms, written as POSCAR:
```
PmLuMgTi
1.0
-2.4816 -1.3721 -4.4258
-4.7775 -2.1794 0.2331
-4.2071 2.7126 -1.6033
Mg Lu Ti Pm
1 1 1 1
Direct
0.7500 0.7500 0.7500 Mg
0.0000 0.0000 0.0000 Lu
0.2500 0.2500 0.2500 Ti
0.5000 0.5000 0.5000 Pm
```

=====

First-principles (GGA-PBE) data for crystalline PmLuMgZr at its relaxed geometry, as listed in the Alexandria database.

Output
- spin magnetization (μB per cell) = 1.91
- DFT formation energy (eV per atom) = 0.14

Cell and atoms, written as POSCAR:
```
PmLuMgZr
1.0
5.3538 0.0000 0.0000
2.6769 4.6365 0.0000
2.6769 1.5455 4.3714
Mg Lu Zr Pm
1 1 1 1
Direct
0.5000 0.5000 0.5000 Mg
0.2500 0.2500 0.2500 Lu
0.0000 0.0000 0.0000 Zr
0.7500 0.7500 0.7500 Pm
```

=====

First-principles (GGA-PBE) data for crystalline PrLu2Mg at its relaxed geometry, as listed in the Alexandria database.

Output
- spin magnetization (μB per cell) = 0.85
- E above lowest polymorph (meV per atom) = 139.3
- DFT formation energy (eV per atom) = 0.13

Cell and atoms, written as POSCAR:
```
PrLu2Mg
1.0
5.5086 0.0000 0.0000
2.7543 4.7706 0.0000
2.7543 1.5902 4.4978
Pr Mg Lu
1 1 2
Direct
0.0000 0.0000 0.0000 Pr
0.5000 0.5000 0.5000 Mg
0.2500 0.2500 0.2500 Lu
0.7500 0.7500 0.7500 Lu
```

=====

First-principles (GGA-PBE) data for crystalline Pr2LuMg at its relaxed geometry, as listed in the Alexandria database.

Output
- spin magnetization (μB per cell) = 0.00
- E above lowest polymorph (meV per atom) = 22.7
- DFT formation energy (eV per atom) = 0.00

Cell and atoms, written as POSCAR:
```
Pr2LuMg
1.0
5.6044 0.0000 0.0000
2.8022 4.8536 0.0000
2.8022 1.6179 4.5760
Pr Mg Lu
2 1 1
Direct
0.2500 0.2500 0.2500 Pr
0.7500 0.7500 0.7500 Pr
0.5000 0.5000 0.5000 Mg
0.0000 0.0000 0.0000 Lu
```